No. 1
Compound: InIrSCl2
Source: Alexandria via LeMat-Bulk
Functional: PBE-GGA
Structure: relaxed

The structure belongs to space group P4/mmm (No. 123); the cell edges are 4.987, 4.987 and 5.217 Å and the angles 90.00°, 90.00° and 90.00°. The inequivalent atoms are In at (0.000, 0.000, 0.000), Ir at (0.500, 0.500, 0.500), S at (0.000, 0.000, 0.500) and Cl at (0.000, 0.500, 0.000).

Its crystal system is tetragonal. Its magnetic moment is 2.412 Bohr magnetons per cell. The calculation puts the offset from the most stable computed form at 0.957 eV per atom. Its formation energy from raw total energies is 387.2 kJ/mol of formula units.

=====

No. 2
Compound: InIrSeCl2
Source: Alexandria via LeMat-Bulk
Functional: PBE-GGA
Structure: relaxed

The structure belongs to space group P4/mmm (No. 123); the cell edges are 5.493, 5.493 and 4.570 Å and the angles 90.00°, 90.00° and 90.00°. The inequivalent atoms are In at (0.000, 0.000, 0.000), Ir at (0.500, 0.500, 0.000), Se at (0.500, 0.500, 0.500) and Cl at (0.000, 0.500, 0.500).

Its crystal system is tetragonal. Its magnetic moment is 0.701 Bohr magnetons per cell. Its formation energy from raw total energies is 159.7 kJ/mol of formula units.

=====

No. 3
Compound: InTeIrCl
Source: Alexandria via LeMat-Bulk
Functional: PBE-GGA
Structure: relaxed

The structure belongs to space group P1 (No. 1); the cell edges are 3.448, 5.073 and 6.076 Å and the angles 111.16°, 90.04° and 109.77°. The inequivalent atoms are In at (0.000, 0.000, 0.000), Te at (0.876, 0.754, 0.451), Ir at (0.571, 0.142, 0.374) and Cl at (0.689, 0.380, 0.814).

Its crystal system is triclinic. Its magnetic moment is 0.000 Bohr magnetons per cell. The calculation puts the offset from the most stable computed form at 0.185 eV per atom. Its formation energy from raw total energies is -69.0 kJ/mol of formula units.

=====

No. 4
Compound: InTeIrCl
Source: Alexandria via LeMat-Bulk
Functional: PBE-GGA
Structure: relaxed

The structure belongs to space group Cm (No. 8); the cell edges are 6.413, 3.641 and 8.794 Å and the angles 90.00°, 103.31° and 90.00°. The inequivalent atoms are In at (0.000, 0.000, 0.000), Te at (0.374, 0.500, 0.604), Ir at (0.098, 0.500, 0.778) and Cl at (0.414, 0.000, 0.217).

Its crystal system is monoclinic. Its magnetic moment is 0.000 Bohr magnetons per cell. The calculation puts the offset from the most stable computed form at 0.042 eV per atom. Its formation energy from raw total energies is -124.2 kJ/mol of formula units.